(1)
DFT (PBE) results for crystalline Pr3Rh8Au at its relaxed geometry.

Results
The density of states at the Fermi level is 11.1 states/eV/cell. The value obtained for the total magnetization is 0.0 μB per formula unit. The density comes out at 10.84 g cm⁻³. Its crystal system is trigonal. The value obtained for the volume is 221.1 Å³ per cell. The formation enthalpy at 0 K comes out at -0.4642 eV per atom.

Lattice parameters (Å, degrees): 9.3461 9.3461 9.3461 33.46 33.46 33.46
With the nearest neighbours (Å) after each atom.
Fractional positions:
Pr: 0.0000 0.0000 0.0000  12 Rh 3.16-3.19, 4 Pr 3.38-3.44
Pr: 0.1299 0.1299 0.1299  12 Rh 3.02-3.23, 3 Au 3.21
Pr: 0.6161 0.6161 0.6161  12 Rh 3.06-3.37, 1 Au 3.24, 3 Pr 3.38
Rh: 0.0609 0.0609 0.5620  6 Rh 2.67-2.72
Rh: 0.0609 0.5620 0.0609  6 Rh 2.67-2.72
Rh: 0.0627 0.5627 0.5627  6 Rh 2.69-2.71, 1 Au 3.01
Rh: 0.3121 0.3121 0.3121  6 Rh 2.71-2.72
Rh: 0.5620 0.0609 0.0609  6 Rh 2.67-2.72
Rh: 0.5627 0.0627 0.5627  6 Rh 2.69-2.71, 1 Au 3.01
Rh: 0.5627 0.5627 0.0627  6 Rh 2.69-2.71, 1 Au 3.01
Rh: 0.8123 0.8123 0.8123  6 Rh 2.67-2.69
Au: 0.4935 0.4935 0.4935  12 Rh 3.01-3.23, 4 Pr 3.21-3.24

---

(2)
DFT (PBE) results for crystalline CaCu2W at its relaxed geometry.

Results
The density of states at the Fermi level is 5.0 states/eV/cell. The value obtained for the total magnetization is 2.3 μB per formula unit. The density comes out at 8.62 g cm⁻³. Its crystal system is cubic. The value obtained for the volume is 67.6 Å³ per cell. The formation enthalpy at 0 K comes out at 0.9694 eV per atom. The value obtained for the energy above the most stable polymorph in this dataset is 55.0 kJ/mol of atoms.

Lattice parameters (Å, degrees): 4.5722 4.5722 4.5722 60.00 60.00 60.00
With the nearest neighbours (Å) after each atom.
Fractional positions:
Ca: 0.0000 0.0000 0.0000  4 W 2.80, 4 Cu 2.80
Cu: 0.2500 0.2500 0.2500  4 Ca 2.80, 4 Cu 2.80
Cu: 0.5000 0.5000 0.5000  4 W 2.80, 4 Cu 2.80
W: 0.7500 0.7500 0.7500  4 Ca 2.80, 4 Cu 2.80